No. 1
This record from Alexandria via LeMat-Bulk describes a geometry-optimized CaTaHg structure. The functional is PBE.

Lattice parameters (Å, degrees): 4.842 4.842 4.842 60.00 60.00 60.00
Fractional positions:
1 Ca 0.000 0.000 0.000
2 Ta 0.500 0.500 0.500
3 Hg 0.250 0.250 0.250

## Properties
- offset from the most stable computed form (eV per atom) = 0.522
- ΔH_f (0 K) (eV per atom) = 0.89
- space-group type = No. 216


No. 2
This record from Alexandria via LeMat-Bulk describes a geometry-optimized CaTaHg2 structure. The functional is PBE.

Lattice parameters (Å, degrees): 3.148 3.148 8.812 90.00 90.00 90.00
Fractional positions:
1 Ca 0.000 0.000 0.000
2 Ta 0.000 0.000 0.500
3 Hg 0.500 0.500 0.266
4 Hg 0.500 0.500 0.734

## Properties
- ΔH_f (0 K) (eV per atom) = 0.12
- space-group type = No. 123


No. 3
This record from Alexandria via LeMat-Bulk describes a geometry-optimized CaTa3Hg structure. The functional is PBE.

Lattice parameters (Å, degrees): 4.778 4.778 4.778 90.00 90.00 90.00
Fractional positions:
1 Ca 0.000 0.000 0.000
2 Ta 0.000 0.000 0.500
3 Ta 0.000 0.500 0.000
4 Ta 0.500 0.000 0.000
5 Hg 0.500 0.500 0.500

## Properties
- offset from the most stable computed form (eV per atom) = 0.606
- ΔH_f (0 K) (eV per atom) = 2.51
- space-group type = No. 221


No. 4
This record from Alexandria via LeMat-Bulk describes a geometry-optimized CaTa3Hg structure. The functional is PBE.

Lattice parameters (Å, degrees): 5.140 5.140 5.140 90.00 90.00 90.00
Fractional positions:
1 Ca 0.000 0.000 0.000
2 Ta 0.000 0.500 0.500
3 Ta 0.500 0.000 0.500
4 Ta 0.500 0.500 0.000
5 Hg 0.500 0.500 0.500

## Properties
- offset from the most stable computed form (eV per atom) = 0.000
- ΔH_f (0 K) (eV per atom) = 1.90
- space-group type = No. 221


No. 5
This record from Alexandria via LeMat-Bulk describes a geometry-optimized Ca3TaHg structure. The functional is PBE.

Lattice parameters (Å, degrees): 5.626 5.626 5.626 90.00 90.00 90.00
Fractional positions:
1 Ca 0.000 0.000 0.500
2 Ca 0.000 0.500 0.000
3 Ca 0.500 0.000 0.000
4 Ta 0.000 0.000 0.000
5 Hg 0.500 0.500 0.500

## Properties
- offset from the most stable computed form (eV per atom) = 0.046
- ΔH_f (0 K) (eV per atom) = 0.91
- space-group type = No. 221


No. 6
This record from Alexandria via LeMat-Bulk describes a geometry-optimized CaTaHg2 structure. The functional is PBE.

Lattice parameters (Å, degrees): 5.843 5.843 5.374 107.26 107.26 30.76
Fractional positions:
1 Ca 0.000 0.000 0.000
2 Ta 0.763 0.763 0.421
3 Hg 0.249 0.249 0.907
4 Hg 0.506 0.506 0.488

## Properties
- ΔH_f (0 K) (eV per atom) = 0.24
- space-group type = No. 8


No. 7
This record from Alexandria via LeMat-Bulk describes a geometry-optimized CaTaHg2 structure. The functional is PBE.

Lattice parameters (Å, degrees): 9.920 9.920 9.920 151.25 151.25 41.11
Fractional positions:
1 Ca 0.000 0.000 0.000
2 Ca 0.750 0.250 0.500
3 Ta 0.250 0.750 0.500
4 Ta 0.500 0.500 0.000
5 Hg 0.183 0.625 0.058
6 Hg 0.375 0.433 0.558
7 Hg 0.567 0.125 0.942
8 Hg 0.875 0.817 0.442

## Properties
- ΔH_f (0 K) (eV per atom) = 0.67
- space-group type = No. 122


No. 8
This record from Alexandria via LeMat-Bulk describes a geometry-optimized CaTaHg structure. The functional is PBE.

Lattice parameters (Å, degrees): 7.273 7.273 7.273 155.09 155.09 35.52
Fractional positions:
1 Ca 0.000 0.000 0.000
2 Ta 0.678 0.678 0.000
3 Hg 0.326 0.326 0.000

## Properties
- offset from the most stable computed form (eV per atom) = 0.000
- ΔH_f (0 K) (eV per atom) = 0.37
- space-group type = No. 107


No. 9
This record from Alexandria via LeMat-Bulk describes a geometry-optimized CaTaHg structure. The functional is PBE.

Lattice parameters (Å, degrees): 3.192 3.192 7.823 90.00 90.00 120.00
Fractional positions:
1 Ca 0.000 0.000 0.000
2 Ta 0.333 0.667 0.658
3 Hg 0.667 0.333 0.344

## Properties
- offset from the most stable computed form (eV per atom) = 0.096
- ΔH_f (0 K) (eV per atom) = 0.46
- space-group type = No. 156


No. 10
This record from Alexandria via LeMat-Bulk describes a geometry-optimized CaTaHg3 structure. The functional is PBE.

Lattice parameters (Å, degrees): 5.350 5.350 5.350 90.00 90.00 90.00
Fractional positions:
1 Ca 0.000 0.000 0.000
2 Ta 0.500 0.500 0.500
3 Hg 0.000 0.500 0.500
4 Hg 0.500 0.000 0.500
5 Hg 0.500 0.500 0.000

## Properties
- offset from the most stable computed form (eV per atom) = 0.000
- ΔH_f (0 K) (eV per atom) = 0.44
- space-group type = No. 221


No. 11
This record from Alexandria via LeMat-Bulk describes a geometry-optimized CaTaHg2 structure. The functional is PBE.

Lattice parameters (Å, degrees): 5.234 5.234 3.194 90.00 90.00 90.00
Fractional positions:
1 Ca 0.000 0.000 0.000
2 Ta 0.500 0.500 0.997
3 Hg 0.000 0.500 0.500
4 Hg 0.500 0.000 0.500

## Properties
- ΔH_f (0 K) (eV per atom) = 0.18
- space-group type = No. 99


No. 12
This record from Alexandria via LeMat-Bulk describes a geometry-optimized CaTaHg2 structure. The functional is PBE.

Lattice parameters (Å, degrees): 10.407 10.407 10.407 17.94 17.94 17.94
Fractional positions:
1 Ca 0.000 0.000 0.000
2 Ta 0.247 0.247 0.247
3 Hg 0.505 0.505 0.505
4 Hg 0.753 0.753 0.753

## Properties
- ΔH_f (0 K) (eV per atom) = 0.36
- space-group type = No. 160


No. 13
This record from Alexandria via LeMat-Bulk describes a geometry-optimized CaTaHg2 structure. The functional is PBE.

Lattice parameters (Å, degrees): 3.179 3.179 9.119 90.00 90.00 90.00
Fractional positions:
1 Ca 0.000 0.000 0.000
2 Ta 0.500 0.500 0.732
3 Hg 0.000 0.000 0.518
4 Hg 0.500 0.500 0.258

## Properties
- ΔH_f (0 K) (eV per atom) = 0.26
- space-group type = No. 99


No. 14
This record from Alexandria via LeMat-Bulk describes a geometry-optimized CaTaHg2 structure. The functional is PBE.

Lattice parameters (Å, degrees): 3.328 4.504 6.179 90.00 90.00 90.00
Fractional positions:
1 Ca 0.000 0.000 0.000
2 Ta 0.500 0.500 0.682
3 Hg 0.000 0.000 0.519
4 Hg 0.500 0.500 0.215

## Properties
- ΔH_f (0 K) (eV per atom) = 0.32
- space-group type = No. 25


No. 15
This record from Alexandria via LeMat-Bulk describes a geometry-optimized Ca3TaHg structure. The functional is PBE.

Lattice parameters (Å, degrees): 5.700 5.700 5.700 90.00 90.00 90.00
Fractional positions:
1 Ca 0.000 0.000 0.500
2 Ca 0.000 0.500 0.000
3 Ca 0.500 0.000 0.000
4 Ta 0.500 0.500 0.500
5 Hg 0.000 0.000 0.000

## Properties
- offset from the most stable computed form (eV per atom) = 0.000
- ΔH_f (0 K) (eV per atom) = 0.87
- space-group type = No. 221


No. 16
This record from Alexandria via LeMat-Bulk describes a geometry-optimized CaTaHg2 structure. The functional is PBE.

Lattice parameters (Å, degrees): 6.178 6.178 6.178 149.56 130.35 59.36
Fractional positions:
1 Ca 0.000 0.000 0.000
2 Ta 0.732 0.232 0.500
3 Hg 0.261 0.761 0.500
4 Hg 0.503 0.503 0.000

## Properties
- ΔH_f (0 K) (eV per atom) = 0.30
- space-group type = No. 44


No. 17
This record from Alexandria via LeMat-Bulk describes a geometry-optimized CaTaHg2 structure. The functional is PBE.

Lattice parameters (Å, degrees): 4.940 4.940 6.488 97.49 97.49 37.40
Fractional positions:
1 Ca 0.000 0.000 0.000
2 Ta 0.500 0.500 0.500
3 Hg 0.247 0.247 0.714
4 Hg 0.753 0.753 0.286

## Properties
- ΔH_f (0 K) (eV per atom) = 0.28
- space-group type = No. 12


No. 18
This record from Alexandria via LeMat-Bulk describes a geometry-optimized CaTaHg2 structure. The functional is PBE.

Lattice parameters (Å, degrees): 5.894 5.894 5.894 138.08 138.08 60.78
Fractional positions:
1 Ca 0.000 0.000 0.000
2 Ta 0.750 0.250 0.500
3 Hg 0.250 0.750 0.500
4 Hg 0.500 0.500 0.000

## Properties
- ΔH_f (0 K) (eV per atom) = 0.39
- space-group type = No. 119


No. 19
This record from Alexandria via LeMat-Bulk describes a geometry-optimized CaTaHg structure. The functional is PBE.

Lattice parameters (Å, degrees): 5.028 5.028 3.183 90.00 90.00 120.00
Fractional positions:
1 Ca 0.000 0.000 0.000
2 Ta 0.333 0.667 0.500
3 Hg 0.667 0.333 0.500

## Properties
- offset from the most stable computed form (eV per atom) = 0.155
- ΔH_f (0 K) (eV per atom) = 0.52
- space-group type = No. 187


No. 20
This record from Alexandria via LeMat-Bulk describes a geometry-optimized Ca4TaHg structure. The functional is PBE.

Lattice parameters (Å, degrees): 6.399 6.399 6.399 60.00 60.00 60.00
Fractional positions:
1 Ca 0.125 0.125 0.125
2 Ca 0.125 0.125 0.624
3 Ca 0.125 0.624 0.125
4 Ca 0.624 0.125 0.125
5 Ta 0.500 0.500 0.500
6 Hg 0.750 0.750 0.750

## Properties
- ΔH_f (0 K) (eV per atom) = 0.83
- space-group type = No. 216


No. 21
This record from Alexandria via LeMat-Bulk describes a geometry-optimized CaTaHg2 structure. The functional is PBE.

Lattice parameters (Å, degrees): 5.261 5.261 3.179 90.00 90.00 96.75
Fractional positions:
1 Ca 0.000 0.000 0.000
2 Ta 0.500 0.500 0.000
3 Hg 0.000 0.500 0.500
4 Hg 0.500 0.000 0.500

## Properties
- ΔH_f (0 K) (eV per atom) = 0.17
- space-group type = No. 65


No. 22
This record from Alexandria via LeMat-Bulk describes a geometry-optimized CaTaHg2 structure. The functional is PBE.

Lattice parameters (Å, degrees): 10.049 10.049 10.049 18.69 18.69 18.69
Fractional positions:
1 Ca 0.000 0.000 0.000
2 Ta 0.500 0.500 0.500
3 Hg 0.246 0.246 0.246
4 Hg 0.754 0.754 0.754

## Properties
- ΔH_f (0 K) (eV per atom) = 0.28
- space-group type = No. 166


No. 23
This record from Alexandria via LeMat-Bulk describes a geometry-optimized CaTaHg2 structure. The functional is PBE.

Lattice parameters (Å, degrees): 3.130 4.131 6.885 90.00 90.07 90.00
Fractional positions:
1 Ca 0.000 0.000 0.000
2 Ta 0.000 0.000 0.500
3 Hg 0.500 0.500 0.278
4 Hg 0.500 0.500 0.722

## Properties
- ΔH_f (0 K) (eV per atom) = 0.15
- space-group type = No. 10


No. 24
This record from Alexandria via LeMat-Bulk describes a geometry-optimized CaTaHg4 structure. The functional is PBE.

Lattice parameters (Å, degrees): 5.828 5.828 5.828 60.00 60.00 60.00
Fractional positions:
1 Ca 0.000 0.000 0.000
2 Ta 0.250 0.250 0.250
3 Hg 0.126 0.625 0.625
4 Hg 0.625 0.126 0.625
5 Hg 0.625 0.625 0.126
6 Hg 0.625 0.625 0.625

## Properties
- ΔH_f (0 K) (eV per atom) = 0.40
- space-group type = No. 216


No. 25
This record from Alexandria via LeMat-Bulk describes a geometry-optimized CaTaTc2Hg structure. The functional is PBE.

Lattice parameters (Å, degrees): 4.790 4.790 5.431 90.00 90.00 90.00
Fractional positions:
1 Ca 0.000 0.000 0.000
2 Ta 0.500 0.500 0.500
3 Tc 0.000 0.500 0.500
4 Tc 0.500 0.000 0.500
5 Hg 0.500 0.500 0.000

## Properties
- ΔH_f (0 K) (eV per atom) = 0.96
- space-group type = No. 123


No. 26
This record from Alexandria via LeMat-Bulk describes a geometry-optimized CaTaTi2Hg structure. The functional is PBE.

Lattice parameters (Å, degrees): 5.047 5.047 5.251 90.00 90.00 90.00
Fractional positions:
1 Ca 0.000 0.000 0.000
2 Ta 0.500 0.500 0.000
3 Ti 0.000 0.500 0.500
4 Ti 0.500 0.000 0.500
5 Hg 0.000 0.000 0.500

## Properties
- ΔH_f (0 K) (eV per atom) = 1.43
- space-group type = No. 123


No. 27
This record from Alexandria via LeMat-Bulk describes a geometry-optimized CaTbHg3 structure. The functional is PBE.

Lattice parameters (Å, degrees): 14.760 14.760 4.914 90.00 90.00 165.59
Fractional positions:
1 Ca 0.077 0.923 0.750
2 Ca 0.923 0.077 0.250
3 Tb 0.211 0.789 0.250
4 Tb 0.789 0.211 0.750
5 Hg 0.317 0.683 0.250
6 Hg 0.377 0.623 0.750
7 Hg 0.475 0.525 0.750
8 Hg 0.525 0.475 0.250
9 Hg 0.623 0.377 0.250
10 Hg 0.683 0.317 0.750

## Properties
- ΔH_f (0 K) (eV per atom) = -0.44
- space-group type = No. 63


No. 28
This record from Alexandria via LeMat-Bulk describes a geometry-optimized CaTb2Hg3 structure. The functional is PBE.

Lattice parameters (Å, degrees): 3.737 3.737 11.366 90.00 90.00 90.00
Fractional positions:
1 Ca 0.000 0.000 0.000
2 Tb 0.000 0.000 0.336
3 Tb 0.000 0.000 0.664
4 Hg 0.500 0.500 0.176
5 Hg 0.500 0.500 0.500
6 Hg 0.500 0.500 0.824

## Properties
- ΔH_f (0 K) (eV per atom) = -0.52
- space-group type = No. 123


No. 29
This record from Alexandria via LeMat-Bulk describes a geometry-optimized Ca2TbHg structure. The functional is PBE.

Lattice parameters (Å, degrees): 10.963 10.963 10.963 19.86 19.86 19.86
Fractional positions:
1 Ca 0.000 0.000 0.000
2 Ca 0.187 0.187 0.187
3 Tb 0.428 0.428 0.428
4 Hg 0.593 0.593 0.593

## Properties
- offset from the most stable computed form (eV per atom) = 0.050
- ΔH_f (0 K) (eV per atom) = -0.13
- space-group type = No. 160